The following is a PBE calculation of a relaxed SmGd2Sn crystal, from Alexandria. Values from VASP.

Quantum ESPRESSO input file:
```
&SYSTEM
  ibrav = 0, nat = 4, ntyp = 3
/
ATOMIC_SPECIES
Gd 157.25 Gd.upf
Sn 118.71 Sn.upf
Sm 150.36 Sm.upf
ATOMIC_POSITIONS angstrom
Gd 0.000 0.000 2.431
Gd 0.000 2.431 0.000
Sn 2.438 2.431 2.431
Sm 2.438 0.000 0.000
CELL_PARAMETERS angstrom
4.877 0.000 0.000
0.000 4.861 0.000
0.000 0.000 4.861
```

Symmetry ... P4/mmm (123)
E_form ... -450 meV/atom
Energy above the most stable polymorph in this dataset ... 0 meV/atom


The following is a PBE calculation of a relaxed TbPmY6 crystal, from Alexandria. Values from VASP.

Quantum ESPRESSO input file:
```
&SYSTEM
  ibrav = 0, nat = 8, ntyp = 3
/
ATOMIC_SPECIES
Tb 158.93 Tb.upf
Pm 145.00 Pm.upf
Y 88.91 Y.upf
ATOMIC_POSITIONS angstrom
Tb -1.741 -8.171 -6.949
Pm 0.000 0.000 0.000
Y -3.811 -12.842 -8.660
Y -2.463 -13.115 -12.214
Y -1.865 -5.885 -4.267
Y -1.019 -3.228 -1.683
Y 0.329 -3.501 -5.237
Y -1.617 -10.458 -9.630
CELL_PARAMETERS angstrom
-5.317 -6.254 -2.777
0.682 -4.186 -8.681
1.154 -5.903 -2.439
```

Symmetry ... R-3 (148)
E_form ... 152 meV/atom
Energy above the most stable polymorph in this dataset ... 0 meV/atom


The following is a PBE calculation of a relaxed BeTcSb2 crystal, from Alexandria. Values from VASP.

Quantum ESPRESSO input file:
```
&SYSTEM
  ibrav = 0, nat = 4, ntyp = 3
/
ATOMIC_SPECIES
Sb 121.76 Sb.upf
Tc 98.00 Tc.upf
Be 9.01 Be.upf
ATOMIC_POSITIONS angstrom
Sb 0.000 0.000 0.000
Sb 0.810 -3.147 -0.020
Tc 0.757 -1.468 -2.327
Be -1.823 -2.144 -0.470
CELL_PARAMETERS angstrom
-1.877 -0.466 -2.777
3.390 -2.471 -1.876
-1.770 -3.822 1.837
```

Symmetry ... P4/mmm (123)
E_form (uncorrected) ... 2.2 eV per formula unit


The following is a PBE calculation of a relaxed NaMgSiPt crystal, from Alexandria. Values from VASP.

Quantum ESPRESSO input file:
```
&SYSTEM
  ibrav = 0, nat = 4, ntyp = 4
/
ATOMIC_SPECIES
Na 22.99 Na.upf
Mg 24.30 Mg.upf
Si 28.09 Si.upf
Pt 195.08 Pt.upf
ATOMIC_POSITIONS angstrom
Na 1.281 -1.197 1.740
Mg 2.336 -4.104 1.199
Si -0.228 -2.173 -0.655
Pt -1.782 -1.860 1.225
CELL_PARAMETERS angstrom
-3.006 -1.563 2.532
1.038 -2.036 -3.559
5.230 -0.969 2.081
```

Symmetry ... R3m (160)
E_form (uncorrected) ... -1.8 eV per formula unit


- Which formula does entry 4 have?
  NaMgSiPt


Copy entry 2 word for word.
The following is a PBE calculation of a relaxed TbPmY6 crystal, from Alexandria. Values from VASP.

Quantum ESPRESSO input file:
```
&SYSTEM
  ibrav = 0, nat = 8, ntyp = 3
/
ATOMIC_SPECIES
Tb 158.93 Tb.upf
Pm 145.00 Pm.upf
Y 88.91 Y.upf
ATOMIC_POSITIONS angstrom
Tb -1.741 -8.171 -6.949
Pm 0.000 0.000 0.000
Y -3.811 -12.842 -8.660
Y -2.463 -13.115 -12.214
Y -1.865 -5.885 -4.267
Y -1.019 -3.228 -1.683
Y 0.329 -3.501 -5.237
Y -1.617 -10.458 -9.630
CELL_PARAMETERS angstrom
-5.317 -6.254 -2.777
0.682 -4.186 -8.681
1.154 -5.903 -2.439
```

Symmetry ... R-3 (148)
E_form ... 152 meV/atom
Energy above the most stable polymorph in this dataset ... 0 meV/atom